[1]
# AcAgAs, optimized geometry, DFT PBE
# - Energy of formation from the pure elements: -495 meV per atom
# - Distance to the lowest polymorph of the same formula: 277 meV per atom
data_AcAgAs
_cell_length_a 5.488
_cell_length_b 5.488
_cell_length_c 5.488
_cell_angle_alpha 133.91
_cell_angle_beta 133.91
_cell_angle_gamma 67.23
_space_group_name_H-M_alt 'P 1'
_space_group_IT_number 1
loop_
_space_group_symop_operation_xyz
'x,y,z'
loop_
_atom_site_label
_atom_site_type_symbol
_atom_site_fract_x
_atom_site_fract_y
_atom_site_fract_z
Ac1 Ac 0.000 0.000 0.000
Ag1 Ag 0.663 0.663 0.000
As1 As 0.364 0.364 0.000



[2]
# CaBi2Ir, optimized geometry, DFT PBE
# - Energy of formation from the pure elements: -218 meV per atom
data_CaBi2Ir
_cell_length_a 7.348
_cell_length_b 7.348
_cell_length_c 7.348
_cell_angle_alpha 33.82
_cell_angle_beta 33.82
_cell_angle_gamma 33.82
_space_group_name_H-M_alt 'P 1'
_space_group_IT_number 1
loop_
_space_group_symop_operation_xyz
'x,y,z'
loop_
_atom_site_label
_atom_site_type_symbol
_atom_site_fract_x
_atom_site_fract_y
_atom_site_fract_z
Ca1 Ca 0.000 0.000 0.000
Bi1 Bi 0.229 0.229 0.229
Bi2 Bi 0.771 0.771 0.771
Ir1 Ir 0.500 0.500 0.500



[3]
# Nd2Er5Th2, optimized geometry, DFT PBE
# - Energy of formation from the pure elements: 254 meV per atom
# - Distance to the lowest polymorph of the same formula: 14 meV per atom
data_Nd2Er5Th2
_cell_length_a 11.290
_cell_length_b 11.290
_cell_length_c 8.085
_cell_angle_alpha 98.96
_cell_angle_beta 98.96
_cell_angle_gamma 17.70
_space_group_name_H-M_alt 'P 1'
_space_group_IT_number 1
loop_
_space_group_symop_operation_xyz
'x,y,z'
loop_
_atom_site_label
_atom_site_type_symbol
_atom_site_fract_x
_atom_site_fract_y
_atom_site_fract_z
Nd1 Nd 0.177 0.177 0.147
Nd2 Nd 0.823 0.823 0.853
Er1 Er 0.000 0.000 0.000
Er2 Er 0.091 0.091 0.727
Er3 Er 0.308 0.308 0.456
Er4 Er 0.692 0.692 0.544
Er5 Er 0.909 0.909 0.273
Th1 Th 0.448 0.448 0.648
Th2 Th 0.552 0.552 0.352



[4]
# Y2Al2Ga, optimized geometry, DFT PBE
# - Energy of formation from the pure elements: -531 meV per atom
data_Y2Al2Ga
_cell_length_a 5.834
_cell_length_b 5.834
_cell_length_c 10.543
_cell_angle_alpha 114.59
_cell_angle_beta 114.59
_cell_angle_gamma 44.47
_space_group_name_H-M_alt 'P 1'
_space_group_IT_number 1
loop_
_space_group_symop_operation_xyz
'x,y,z'
loop_
_atom_site_label
_atom_site_type_symbol
_atom_site_fract_x
_atom_site_fract_y
_atom_site_fract_z
Y1 Y 0.007 0.007 0.327
Y2 Y 0.183 0.183 0.100
Y3 Y 0.817 0.817 0.900
Y4 Y 0.993 0.993 0.673
Al1 Al 0.358 0.358 0.437
Al2 Al 0.475 0.475 0.113
Al3 Al 0.525 0.525 0.887
Al4 Al 0.642 0.642 0.563
Ga1 Ga 0.280 0.280 0.666
Ga2 Ga 0.720 0.720 0.334



[5]
# MgTl2Pd6, optimized geometry, DFT PBE
# - Energy of formation from the pure elements: -305 meV per atom
# - Distance to the lowest polymorph of the same formula: 0 meV per atom
data_MgTl2Pd6
_cell_length_a 4.889
_cell_length_b 4.889
_cell_length_c 8.482
_cell_angle_alpha 102.37
_cell_angle_beta 102.37
_cell_angle_gamma 51.15
_space_group_name_H-M_alt 'P 1'
_space_group_IT_number 1
loop_
_space_group_symop_operation_xyz
'x,y,z'
loop_
_atom_site_label
_atom_site_type_symbol
_atom_site_fract_x
_atom_site_fract_y
_atom_site_fract_z
Mg1 Mg 0.000 0.000 0.000
Tl1 Tl 0.316 0.316 0.764
Tl2 Tl 0.684 0.684 0.236
Pd1 Pd 0.010 0.010 0.332
Pd2 Pd 0.342 0.342 0.443
Pd3 Pd 0.345 0.345 0.103
Pd4 Pd 0.655 0.655 0.897
Pd5 Pd 0.658 0.658 0.557
Pd6 Pd 0.990 0.990 0.668



[6]
# CaMg4Hg2, optimized geometry, DFT PBE
# - Energy of formation from the pure elements: -227 meV per atom
# - Distance to the lowest polymorph of the same formula: 32 meV per atom
data_CaMg4Hg2
_cell_length_a 9.322
_cell_length_b 9.322
_cell_length_c 4.347
_cell_angle_alpha 90.00
_cell_angle_beta 90.00
_cell_angle_gamma 152.78
_space_group_name_H-M_alt 'P 1'
_space_group_IT_number 1
loop_
_space_group_symop_operation_xyz
'x,y,z'
loop_
_atom_site_label
_atom_site_type_symbol
_atom_site_fract_x
_atom_site_fract_y
_atom_site_fract_z
Ca1 Ca 0.000 0.000 0.000
Mg1 Mg 0.184 0.816 0.500
Mg2 Mg 0.314 0.686 0.000
Mg3 Mg 0.686 0.314 0.000
Mg4 Mg 0.816 0.184 0.500
Hg1 Hg 0.420 0.580 0.500
Hg2 Hg 0.580 0.420 0.500